CsPrAs: relaxed, PBE-GGA.

The space group is F-43m (No. 216) and the conventional cell measures 7.691, 7.691 and 7.691 Å, with angles of 90.00, 90.00 and 90.00 degrees. The distinct sites, in fractional coordinates, are Cs at (0.000, 0.000, 0.000), Pr at (0.000, 0.000, 0.500) and As at (0.250, 0.250, 0.250).

Its total energy is -0.265 Ry per atom.


HfGaFeRe: relaxed, PBE-GGA.

The space group is F-43m (No. 216) and the conventional cell measures 6.245, 6.245 and 6.245 Å, with angles of 90.00, 90.00 and 90.00 degrees. The distinct sites, in fractional coordinates, are Hf at (0.000, 0.000, 0.000), Ga at (0.000, 0.000, 0.500), Fe at (0.250, 0.250, 0.750) and Re at (0.250, 0.250, 0.250).

The relative energy among the computed polymorphs is 0 meV per atom.


Looking at magnetization for the records above, in order, we have 3.84; 7.46 Bohr magnetons per cell.